[1]
VASP calculation (GGA-PBE) on a relaxed Sc2PdAu crystal.

Cell lengths 7.4319, 7.4319, 6.0141 Å; angles 51.84, 51.84, 90.00 degrees
Last column: nearest neighbours and their distance in Å.
Fractional positions:
Sc 0.6119 0.1250 0.2500  2 Pd 2.66, 2 Au 2.79, 2 Sc 2.93
Sc 0.1381 0.6250 0.2500  2 Pd 2.66, 2 Au 2.79, 2 Sc 2.93
Sc 0.3750 0.3881 0.7500  2 Pd 2.66, 2 Au 2.79, 2 Sc 2.93
Sc 0.8750 0.8619 0.7500  2 Pd 2.66, 2 Au 2.79, 2 Sc 2.93
Au 0.0000 0.0000 0.0000  4 Sc 2.79, 2 Pd 2.92
Au 0.7500 0.2500 0.5000  4 Sc 2.79, 2 Pd 2.92
Pd 0.5000 0.5000 0.0000  4 Sc 2.66, 2 Au 2.92
Pd 0.2500 0.7500 0.5000  4 Sc 2.66, 2 Au 2.92

Calculated values
**Space-group type**: No. 122
**ΔH_f (0 K)**: -418 meV/atom
**Raw total energy**: -5.701 eV per atom
**V**: 80.77 Å³/f.u.

=====

[2]
VASP calculation (GGA-PBE) on a relaxed Sc2Pd6Au crystal.

Cell lengths 3.0166, 7.6202, 7.6202 Å; angles 120.57, 90.00, 90.00 degrees
Last column: nearest neighbours and their distance in Å.
Fractional positions:
Sc 0.0000 0.5619 0.2564  4 Pd 2.60-2.74
Sc 0.0000 0.2564 0.5619  4 Pd 2.60-2.74
Pd 0.5000 0.5505 0.5505  6 Pd 2.71-3.02, 4 Sc 2.74, 1 Au 2.79
Pd 0.5000 0.5590 0.9231  9 Pd 2.81-3.02, 4 Sc 2.94-2.95
Pd 0.5000 0.9231 0.5590  9 Pd 2.81-3.02, 4 Sc 2.94-2.95
Pd 0.0000 0.8492 0.8492  10 Pd 2.71-3.02, 2 Au 2.93
Pd 0.0000 0.2291 0.8890  2 Sc 2.60-2.65, 5 Pd 2.75-2.84, 2 Au 2.86
Pd 0.0000 0.8890 0.2291  2 Sc 2.60-2.65, 5 Pd 2.75-2.84, 2 Au 2.86
Au 0.5000 0.1817 0.1817  7 Pd 2.79-2.93, 2 Au 3.02, 4 Sc 3.05

Calculated values
**Energy above the most stable polymorph in this dataset**: 0 meV per atom
**Space-group type**: No. 38
**ΔH_f (0 K)**: -546 meV/atom
**Raw total energy**: -5.779 eV per atom
**V**: 150.82 Å³/f.u.

=====

[3]
VASP calculation (GGA-PBE) on a relaxed Sc7Pd4Au crystal.

Cell lengths 5.1407, 7.6757, 7.2701 Å; angles 73.23, 69.30, 70.44 degrees
Last column: nearest neighbours and their distance in Å.
Fractional positions:
Sc 0.7800 0.8825 0.5576  4 Pd 2.76-3.07, 1 Sc 3.05
Sc 0.2200 0.1175 0.4424  4 Pd 2.76-3.07, 1 Sc 3.05
Sc 0.0619 0.6242 0.2521  3 Pd 2.62-2.92, 1 Au 2.92
Sc 0.9381 0.3758 0.7479  3 Pd 2.62-2.92, 1 Au 2.92
Sc 0.2713 0.6817 0.7758  4 Pd 2.64-2.84
Sc 0.5000 0.0000 0.0000  2 Au 2.57, 4 Pd 2.64-2.85
Sc 0.7287 0.3183 0.2242  4 Pd 2.64-2.84
Pd 0.5657 0.2489 0.6196  5 Sc 2.64-2.92
Pd 0.4343 0.7511 0.3804  5 Sc 2.64-2.92
Pd 0.6990 0.6442 0.9577  6 Sc 2.62-2.93
Pd 0.3010 0.3558 0.0423  6 Sc 2.62-2.93
Au 0.0000 0.0000 0.0000  2 Sc 2.57

Calculated values
**Space-group type**: No. 12
**ΔH_f (0 K)**: -528 meV/atom
**Raw total energy**: -6.225 eV per atom
**V**: 248.09 Å³/f.u.